# PBE SbPdAu3, optimized geometry
data_SbPdAu3
_chemical_formula_sum 'Sb1 Pd1 Au3'
_space_group_name_H-M_alt 'P m -3 m'
_space_group_IT_number 221
_space_group_name_Hall '-P 4 2 3'
_cell_length_a 5.1363
_cell_length_b 5.1363
_cell_length_c 5.1363
_cell_angle_alpha 90.00
_cell_angle_beta 90.00
_cell_angle_gamma 90.00
loop_
_atom_site_label
_atom_site_type_symbol
_atom_site_fract_x
_atom_site_fract_y
_atom_site_fract_z
Sb1 Sb 0.0000 0.0000 0.0000
Pd1 Pd 0.5000 0.5000 0.5000
Au1 Au 0.0000 0.0000 0.5000
# size of the total moment: 0.000 μB/cell
# formation energy without anion corrections: 0.665 eV per atom
# distance to the lowest polymorph of the same formula: 0 meV per atom
# E_tot: -3.16 eV/atom